# CeNd4Y3S8 PBE optimized geometry
# spin magnetization = 0.04 μB/f.u.
# total DFT energy (no corrections) = -6.86 eV per atom
# energy relative to the elements, uncorrected = -2.021 eV/atom
# V = 364 Å³/f.u.
data_CeNd4Y3S8
_cell_length_a 7.9991
_cell_length_b 7.9991
_cell_length_c 19.6968
_cell_angle_alpha 90.00
_cell_angle_beta 90.00
_cell_angle_gamma 120.00
_space_group_name_H-M_alt 'R -3 m'
_space_group_IT_number 166
_space_group_name_Hall '-R 3 2"'
loop_
_atom_site_label
_atom_site_fract_x
_atom_site_fract_y
_atom_site_fract_z
Ce1 0.0000 0.0000 0.0000
Nd1 0.0000 0.0000 0.5000
Nd2 0.0000 0.5000 0.5000
Y1 0.0000 0.5000 0.0000
S1 0.0000 0.0000 0.2548
S2 0.0037 0.5018 0.2539